# 1
## MnPb2Se (GGA-PBEsol)

Data for a geometry-optimized MnPb2Se structure.

a = 3.699 Å, b = 3.699 Å, c = 6.703 Å
α = 90.00°, β = 90.00°, γ = 90.00°
Site moments in Bohr magnetons follow the coordinates.
Sites, in units of the cell vectors:
Mn1 0.500 0.500 0.000  3.74
Pb1 0.000 0.000 0.239  -0.05
Pb2 0.000 0.000 0.761  -0.05
Se1 0.500 0.500 0.500  0.03

Properties
Space-group type ... P4/mmm, No. 123
E_form (uncorrected) ... 0.29 eV per atom

# 2
## Mn2PbSe (GGA-PBEsol)

Data for a geometry-optimized Mn2PbSe structure.

a = 4.792 Å, b = 4.792 Å, c = 4.792 Å
α = 60.00°, β = 60.00°, γ = 60.00°
Site moments in Bohr magnetons follow the coordinates.
Sites, in units of the cell vectors:
Mn1 0.000 0.000 0.000  3.62
Mn2 0.250 0.250 0.250  3.64
Pb1 0.500 0.500 0.500  -0.11
Se1 0.750 0.750 0.750  0.01

Properties
Space-group type ... F-43m, No. 216
Offset from the most stable computed form ... 314 meV/atom
E_form (uncorrected) ... 0.74 eV per atom

# 3
## Mn2PbSe (GGA-PBEsol)

Data for a geometry-optimized Mn2PbSe structure.

a = 4.559 Å, b = 4.729 Å, c = 4.559 Å
α = 61.18°, β = 90.00°, γ = 118.82°
Site moments in Bohr magnetons follow the coordinates.
Sites, in units of the cell vectors:
Mn1 0.250 0.500 0.250  3.50
Mn2 0.750 0.500 0.750  3.50
Pb1 0.500 0.000 0.500  -0.13
Se1 0.000 0.000 0.000  -0.03

Properties
Space-group type ... I4/mmm, No. 139
Offset from the most stable computed form ... 0 meV/atom
E_form (uncorrected) ... 0.42 eV per atom

# 4
## MnSiPb3 (GGA-PBEsol)

Data for a geometry-optimized MnSiPb3 structure.

a = 5.303 Å, b = 5.303 Å, c = 5.303 Å
α = 90.00°, β = 90.00°, γ = 90.00°
Site moments in Bohr magnetons follow the coordinates.
Sites, in units of the cell vectors:
Pb1 0.000 0.500 0.000  -0.03
Pb2 0.000 0.000 0.500  -0.03
Pb3 0.500 0.000 0.000  -0.03
Si1 0.000 0.000 0.000  0.00
Mn1 0.500 0.500 0.500  4.35

Properties
Space-group type ... Pm-3m, No. 221
E_form (uncorrected) ... 0.96 eV per atom

# 5
## MnSiPb2 (GGA-PBEsol)

Data for a geometry-optimized MnSiPb2 structure.

a = 4.164 Å, b = 4.164 Å, c = 5.867 Å
α = 110.79°, β = 110.79°, γ = 90.00°
Site moments in Bohr magnetons follow the coordinates.
Sites, in units of the cell vectors:
Mn1 0.250 0.750 0.500  3.81
Pb1 0.000 0.000 0.000  -0.02
Pb2 0.750 0.250 0.500  -0.04
Si1 0.500 0.500 0.000  -0.02

Properties
Space-group type ... I-4m2, No. 119
E_form (uncorrected) ... 0.58 eV per atom

# 6
## ZrMnSiPb2 (GGA-PBEsol)

Data for a geometry-optimized ZrMnSiPb2 structure.

a = 5.024 Å, b = 5.178 Å, c = 5.178 Å
α = 90.00°, β = 90.00°, γ = 90.00°
Site moments in Bohr magnetons follow the coordinates.
Sites, in units of the cell vectors:
Pb1 0.000 0.000 0.500  -0.01
Pb2 0.000 0.500 0.000  -0.01
Si1 0.000 0.000 0.000  0.00
Mn1 0.500 0.500 0.500  4.20
Zr1 0.500 0.000 0.000  -0.32

Properties
Space-group type ... P4/mmm, No. 123
E_form (uncorrected) ... 0.92 eV per atom

# 7
## SrYMn2Pb (GGA-PBEsol)

Data for a geometry-optimized SrYMn2Pb structure.

a = 5.127 Å, b = 5.127 Å, c = 5.916 Å
α = 90.00°, β = 90.00°, γ = 90.00°
Site moments in Bohr magnetons follow the coordinates.
Sites, in units of the cell vectors:
Pb1 0.000 0.000 0.000  -0.11
Y1 0.500 0.500 0.500  -0.24
Mn1 0.000 0.500 0.000  3.82
Mn2 0.500 0.000 0.000  3.82
Sr1 0.000 0.000 0.500  -0.03

Properties
Space-group type ... P4/mmm, No. 123

# 8
## Ta3MnPb (GGA-PBEsol)

Data for a geometry-optimized Ta3MnPb structure.

a = 4.599 Å, b = 4.599 Å, c = 4.599 Å
α = 90.00°, β = 90.00°, γ = 90.00°
Sites, in units of the cell vectors:
Pb1 0.500 0.500 0.500
Mn1 0.000 0.000 0.000
Ta1 0.000 0.500 0.000
Ta2 0.000 0.000 0.500
Ta3 0.500 0.000 0.000

Properties
Space-group type ... Pm-3m, No. 221

# 9
## MnTcPb2 (GGA-PBEsol)

Data for a geometry-optimized MnTcPb2 structure.

a = 4.732 Å, b = 4.732 Å, c = 4.732 Å
α = 60.00°, β = 60.00°, γ = 60.00°
Site moments in Bohr magnetons follow the coordinates.
Sites, in units of the cell vectors:
Mn1 0.000 0.000 0.000  3.47
Pb1 0.250 0.250 0.250  -0.05
Pb2 0.750 0.750 0.750  -0.05
Tc1 0.500 0.500 0.500  0.18

Properties
Space-group type ... Fm-3m, No. 225
Offset from the most stable computed form ... 0 meV/atom

# 10
## MnTcPb2 (GGA-PBEsol)

Data for a geometry-optimized MnTcPb2 structure.

a = 3.531 Å, b = 4.277 Å, c = 5.151 Å
α = 90.00°, β = 90.00°, γ = 90.00°
Site moments in Bohr magnetons follow the coordinates.
Sites, in units of the cell vectors:
Mn1 0.000 0.500 0.500  3.50
Pb1 0.000 0.000 0.000  -0.02
Pb2 0.500 0.000 0.500  -0.07
Tc1 0.500 0.500 0.000  0.22

Properties
Space-group type ... Pmmm, No. 47
Offset from the most stable computed form ... 70 meV/atom

# 11
## Mn2TcPb (GGA-PBEsol)

Data for a geometry-optimized Mn2TcPb structure.

a = 2.968 Å, b = 4.628 Å, c = 4.794 Å
α = 101.09°, β = 90.00°, γ = 108.70°
Site moments in Bohr magnetons follow the coordinates.
Sites, in units of the cell vectors:
Mn1 0.996 0.992 0.991  2.21
Mn2 0.742 0.485 0.213  2.57
Pb1 0.500 0.000 0.489  -0.05
Tc1 0.261 0.523 0.807  -0.33

Properties
Space-group type ... Cm, No. 8

# 12
## MnTc2Pb (GGA-PBEsol)

Data for a geometry-optimized MnTc2Pb structure.

a = 2.906 Å, b = 2.906 Å, c = 8.854 Å
α = 80.56°, β = 80.56°, γ = 60.00°
Site moments in Bohr magnetons follow the coordinates.
Sites, in units of the cell vectors:
Mn1 0.500 0.500 0.500  1.93
Pb1 0.000 0.000 0.000  -0.01
Tc1 0.238 0.238 0.285  -0.31
Tc2 0.762 0.762 0.715  -0.31

Properties
Space-group type ... R-3m, No. 166

# 13
## Mn2TcPb (GGA-PBEsol)

Data for a geometry-optimized Mn2TcPb structure.

a = 3.268 Å, b = 3.268 Å, c = 5.721 Å
α = 90.00°, β = 90.00°, γ = 90.00°
Site moments in Bohr magnetons follow the coordinates.
Sites, in units of the cell vectors:
Mn1 0.000 0.000 0.714  2.67
Mn2 0.000 0.000 0.286  2.67
Pb1 0.500 0.500 0.000  -0.05
Tc1 0.500 0.500 0.500  0.08

Properties
Space-group type ... P4/mmm, No. 123

# 14
## MnTc2Pb (GGA-PBEsol)

Data for a geometry-optimized MnTc2Pb structure.

a = 3.028 Å, b = 4.497 Å, c = 5.289 Å
α = 115.16°, β = 106.64°, γ = 90.00°
Site moments in Bohr magnetons follow the coordinates.
Sites, in units of the cell vectors:
Mn1 0.500 0.000 0.000  2.60
Pb1 0.000 0.500 0.000  -0.03
Tc1 0.772 0.772 0.543  -0.17
Tc2 0.228 0.228 0.457  -0.17

Properties
Space-group type ... Immm, No. 71

# 15
## Mn2TePb (GGA-PBEsol)

Data for a geometry-optimized Mn2TePb structure.

a = 3.311 Å, b = 3.311 Å, c = 7.356 Å
α = 90.00°, β = 90.00°, γ = 90.00°
Site moments in Bohr magnetons follow the coordinates.
Sites, in units of the cell vectors:
Mn1 0.000 0.000 0.022  2.64
Mn2 0.500 0.500 0.204  3.16
Pb1 0.000 0.000 0.429  -0.07
Te1 0.500 0.500 0.844  -0.11

Properties
Space-group type ... P4mm, No. 99
E_form (uncorrected) ... 0.27 eV per atom

# 16
## YTi2MnPb (GGA-PBEsol)

Data for a geometry-optimized YTi2MnPb structure.

a = 4.952 Å, b = 5.153 Å, c = 5.153 Å
α = 90.00°, β = 90.00°, γ = 90.00°
Site moments in Bohr magnetons follow the coordinates.
Sites, in units of the cell vectors:
Pb1 0.000 0.000 0.000  -0.01
Y1 0.500 0.500 0.500  0.23
Mn1 0.500 0.000 0.000  3.73
Ti1 0.000 0.000 0.500  1.03
Ti2 0.000 0.500 0.000  1.03

Properties
Space-group type ... P4/mmm, No. 123

# 17
## MnTlPb (GGA-PBEsol)

Data for a geometry-optimized MnTlPb structure.

a = 4.699 Å, b = 4.699 Å, c = 4.699 Å
α = 60.00°, β = 60.00°, γ = 60.00°
Site moments in Bohr magnetons follow the coordinates.
Sites, in units of the cell vectors:
Mn1 0.750 0.750 0.750  3.66
Pb1 0.000 0.000 0.000  -0.07
Tl1 0.500 0.500 0.500  -0.01

Properties
Space-group type ... F-43m, No. 216

# 18
## MnTlPb2 (GGA-PBEsol)

Data for a geometry-optimized MnTlPb2 structure.

a = 3.361 Å, b = 5.567 Å, c = 5.567 Å
α = 105.87°, β = 90.12°, γ = 90.12°
Site moments in Bohr magnetons follow the coordinates.
Sites, in units of the cell vectors:
Mn1 0.500 0.000 0.000  4.00
Pb1 0.000 0.500 0.000  -0.04
Pb2 0.000 0.000 0.500  -0.04
Tl1 0.500 0.500 0.500  -0.01

Properties
Space-group type ... C2/m, No. 12

# 19
## MnTl2Pb (GGA-PBEsol)

Data for a geometry-optimized MnTl2Pb structure.

a = 3.361 Å, b = 3.361 Å, c = 10.133 Å
α = 80.45°, β = 80.45°, γ = 60.00°
Site moments in Bohr magnetons follow the coordinates.
Sites, in units of the cell vectors:
Mn1 0.500 0.500 0.500  3.83
Pb1 0.000 0.000 0.000  0.03
Tl1 0.239 0.239 0.283  0.01
Tl2 0.761 0.761 0.717  0.01

Properties
Space-group type ... R-3m, No. 166
Offset from the most stable computed form ... 77 meV/atom

# 20
## MnTl2Pb (GGA-PBEsol)

Data for a geometry-optimized MnTl2Pb structure.

a = 3.329 Å, b = 3.329 Å, c = 8.749 Å
α = 90.00°, β = 90.00°, γ = 90.21°
Site moments in Bohr magnetons follow the coordinates.
Sites, in units of the cell vectors:
Mn1 0.000 0.000 0.494  3.68
Pb1 0.500 0.500 0.702  -0.04
Tl1 0.000 0.000 0.008  0.00
Tl2 0.500 0.500 0.296  -0.01

Properties
Space-group type ... Cmm2, No. 35
Offset from the most stable computed form ... 0 meV/atom

| no. | raw total energy (eV per atom) |
| --- | --- |
| 1 | -5.113 |
| 2 | -6.106 |
| 3 | -6.420 |
| 4 | -4.537 |
| 5 | -5.296 |
| 6 | -5.601 |
| 7 | -5.403 |
| 8 | -9.565 |
| 9 | -6.550 |
| 10 | -6.480 |
| 11 | -8.157 |
| 12 | -8.406 |
| 13 | -8.209 |
| 14 | -8.480 |
| 15 | -6.490 |
| 16 | -6.353 |
| 17 | -5.017 |
| 18 | -4.686 |
| 19 | -4.361 |
| 20 | -4.438 |